Entry 1:
A plane-wave DFT calculation with PBE was carried out for an optimized crystal structure of La6TbSc2.

Raw total energy ... -45.5 eV per cell
Total magnetic moment ... 0.0 μB per formula unit
SG ... No. 65

Cell: 9.959 9.959 3.623 Å, 90.00 90.00 124.30°
Atoms (fractional coordinates):
La (0.005, 0.342, 0.000)
La (0.175, 0.175, 0.500)
La (0.342, 0.005, 0.000)
La (0.658, 0.995, 0.000)
La (0.825, 0.825, 0.500)
La (0.995, 0.658, 0.000)
Tb (0.500, 0.500, 0.000)
Sc (0.328, 0.672, 0.500)
Sc (0.672, 0.328, 0.500)

=====

Entry 2:
A plane-wave DFT calculation with PBE was carried out for an optimized crystal structure of Sn2Hg2Pd.

Raw total energy ... -27.9 eV per cell
Total magnetic moment ... 0.0 μB per formula unit
Energy relative to the lowest polymorph listed for this composition ... 0.000 eV per atom
SG ... No. 127

Cell: 7.069 7.069 4.959 Å, 90.00 90.00 90.00°
Atoms (fractional coordinates):
Sn (0.152, 0.348, 0.000)
Sn (0.348, 0.848, 0.000)
Sn (0.652, 0.152, 0.000)
Sn (0.848, 0.652, 0.000)
Hg (0.174, 0.674, 0.500)
Hg (0.326, 0.174, 0.500)
Hg (0.674, 0.826, 0.500)
Hg (0.826, 0.326, 0.500)
Pd (0.000, 0.000, 0.000)
Pd (0.500, 0.500, 0.000)

=====

Entry 3:
A plane-wave DFT calculation with PBE was carried out for an optimized crystal structure of Ca4NiPt.

Raw total energy ... -44.8 eV per cell
Total magnetic moment ... 0.0 μB per formula unit
Energy relative to the lowest polymorph listed for this composition ... 0.000 eV per atom
SG ... No. 15

Cell: 8.131 8.131 6.523 Å, 109.00 109.00 111.00°
Atoms (fractional coordinates):
Ca (0.051, 0.691, 0.903)
Ca (0.245, 0.359, 0.738)
Ca (0.309, 0.949, 0.597)
Ca (0.359, 0.245, 0.238)
Ca (0.641, 0.755, 0.762)
Ca (0.691, 0.051, 0.403)
Ca (0.755, 0.641, 0.262)
Ca (0.949, 0.309, 0.097)
Ni (0.004, 0.996, 0.750)
Ni (0.996, 0.004, 0.250)
Pt (0.365, 0.635, 0.250)
Pt (0.635, 0.365, 0.750)

=====

Entry 4:
A plane-wave DFT calculation with PBE was carried out for an optimized crystal structure of FeCo3.

Raw total energy ... -29.6 eV per cell
Total magnetic moment ... 7.4 μB per formula unit
SG ... No. 187

Cell: 2.502 2.502 8.214 Å, 90.00 90.00 120.00°
Atoms (fractional coordinates):
Fe (0.000, 0.000, 0.000)
Co (0.000, 0.000, 0.500)
Co (0.667, 0.333, 0.256)
Co (0.667, 0.333, 0.744)

=====

Entry 5:
A plane-wave DFT calculation with PBE was carried out for an optimized crystal structure of V2CrBr6.

Raw total energy ... -44.6 eV per cell
Total magnetic moment ... 10.0 μB per formula unit
Energy relative to the elements, uncorrected ... -6.7 eV/f.u.
Energy relative to the lowest polymorph listed for this composition ... 0.000 eV per atom
SG ... No. 12

Cell: 7.524 7.524 10.189 Å, 110.68 110.68 29.34°
Atoms (fractional coordinates):
V (0.164, 0.164, 0.337)
V (0.836, 0.836, 0.663)
Cr (0.500, 0.500, 0.000)
Br (0.134, 0.134, 0.067)
Br (0.201, 0.201, 0.612)
Br (0.468, 0.468, 0.707)
Br (0.532, 0.532, 0.293)
Br (0.799, 0.799, 0.388)
Br (0.866, 0.866, 0.933)

=====

Entry 6:
A plane-wave DFT calculation with PBE was carried out for an optimized crystal structure of LaPrNd4Ho2.

Raw total energy ... -37.8 eV per cell
Total magnetic moment ... 0.0 μB per formula unit
SG ... No. 10

Cell: 6.296 3.666 12.161 Å, 90.00 100.12 90.00°
Atoms (fractional coordinates):
La (0.000, 0.000, 0.000)
Pr (0.000, 0.500, 0.500)
Nd (0.251, 0.000, 0.751)
Nd (0.252, 0.500, 0.252)
Nd (0.748, 0.500, 0.748)
Nd (0.749, 0.000, 0.249)
Ho (0.500, 0.000, 0.500)
Ho (0.500, 0.500, 0.000)

=====

Entry 7:
A plane-wave DFT calculation with PBE was carried out for an optimized crystal structure of NbCrCu.

Raw total energy ... -141.9 eV per cell
Total magnetic moment ... 0.3 μB per formula unit
SG ... No. 166

Cell: 12.501 12.501 12.501 Å, 22.60 22.60 22.60°
Atoms (fractional coordinates):
Nb (0.041, 0.041, 0.041)
Nb (0.180, 0.180, 0.180)
Nb (0.266, 0.266, 0.266)
Nb (0.734, 0.734, 0.734)
Nb (0.820, 0.820, 0.820)
Nb (0.959, 0.959, 0.959)
Cr (0.000, 0.500, 0.500)
Cr (0.387, 0.387, 0.387)
Cr (0.500, 0.000, 0.500)
Cr (0.500, 0.500, 0.000)
Cr (0.500, 0.500, 0.500)
Cr (0.613, 0.613, 0.613)
Cu (0.218, 0.725, 0.725)
Cu (0.275, 0.275, 0.782)
Cu (0.275, 0.782, 0.275)
Cu (0.725, 0.218, 0.725)
Cu (0.725, 0.725, 0.218)
Cu (0.782, 0.275, 0.275)

=====

Entry 8:
A plane-wave DFT calculation with PBE was carried out for an optimized crystal structure of CeAlCl6.

Raw total energy ... -35.0 eV per cell
Total magnetic moment ... 1.0 μB per formula unit
Energy relative to the elements, uncorrected ... -14.3 eV/f.u.
SG ... No. 12

Cell: 6.910 6.910 6.391 Å, 97.24 97.24 124.41°
Atoms (fractional coordinates):
Ce (0.000, 0.000, 0.000)
Al (0.500, 0.500, 0.500)
Cl (0.156, 0.429, 0.285)
Cl (0.263, 0.263, 0.728)
Cl (0.429, 0.156, 0.285)
Cl (0.571, 0.844, 0.715)
Cl (0.737, 0.737, 0.272)
Cl (0.844, 0.571, 0.715)

=====

Entry 9:
A plane-wave DFT calculation with PBE was carried out for an optimized crystal structure of BaMg.

Raw total energy ... -7.0 eV per cell
Total magnetic moment ... 0.0 μB per formula unit
SG ... No. 129

Cell: 4.205 4.205 9.590 Å, 90.00 90.00 90.00°
Atoms (fractional coordinates):
Ba (0.250, 0.250, 0.186)
Ba (0.750, 0.750, 0.814)
Mg (0.250, 0.250, 0.572)
Mg (0.750, 0.750, 0.428)

=====

Entry 10:
A plane-wave DFT calculation with PBE was carried out for an optimized crystal structure of LaGa2Pb.

Raw total energy ... -31.2 eV per cell
Total magnetic moment ... 0.0 μB per formula unit
SG ... No. 122

Cell: 6.657 6.657 6.657 Å, 103.84 103.84 121.44°
Atoms (fractional coordinates):
La (0.000, 0.000, 0.000)
La (0.750, 0.250, 0.500)
Ga (0.151, 0.125, 0.526)
Ga (0.375, 0.849, 0.974)
Ga (0.599, 0.625, 0.474)
Ga (0.875, 0.401, 0.026)
Pb (0.250, 0.750, 0.500)
Pb (0.500, 0.500, 0.000)

=====

Entry 11:
A plane-wave DFT calculation with PBE was carried out for an optimized crystal structure of NaSbCl5.

Raw total energy ... -86.9 eV per cell
Total magnetic moment ... 0.9 μB per formula unit
Energy relative to the elements, uncorrected ... -7.1 eV/f.u.
Energy relative to the lowest polymorph listed for this composition ... 0.000 eV per atom
SG ... No. 14

Cell: 7.199 13.295 10.420 Å, 90.00 110.31 90.00°
Atoms (fractional coordinates):
Na (0.191, 0.000, 0.383)
Na (0.191, 0.500, 0.883)
Na (0.809, 0.000, 0.617)
Na (0.809, 0.500, 0.117)
Sb (0.399, 0.001, 0.796)
Sb (0.399, 0.499, 0.296)
Sb (0.601, 0.501, 0.704)
Sb (0.601, 0.999, 0.204)
Cl (0.120, 0.113, 0.796)
Cl (0.120, 0.387, 0.296)
Cl (0.157, 0.608, 0.120)
Cl (0.157, 0.892, 0.620)
Cl (0.322, 0.111, 0.202)
Cl (0.322, 0.389, 0.702)
Cl (0.353, 0.610, 0.499)
Cl (0.353, 0.890, 0.999)
Cl (0.463, 0.108, 0.619)
Cl (0.463, 0.392, 0.119)
Cl (0.537, 0.608, 0.881)
Cl (0.537, 0.892, 0.381)
Cl (0.647, 0.110, 0.001)
Cl (0.647, 0.390, 0.501)
Cl (0.678, 0.611, 0.298)
Cl (0.678, 0.889, 0.798)
Cl (0.843, 0.108, 0.380)
Cl (0.843, 0.392, 0.880)
Cl (0.880, 0.613, 0.704)
Cl (0.880, 0.887, 0.204)

=====

Entry 12:
A plane-wave DFT calculation with PBE was carried out for an optimized crystal structure of TaTiNi.

Raw total energy ... -105.2 eV per cell
Total magnetic moment ... 0.0 μB per formula unit
Energy relative to the lowest polymorph listed for this composition ... 0.009 eV per atom
SG ... No. 70

Cell: 9.937 9.315 4.869 Å, 82.56 68.37 29.07°
Atoms (fractional coordinates):
Ta (0.045, 0.705, 0.045)
Ta (0.295, 0.955, 0.295)
Ta (0.705, 0.045, 0.705)
Ta (0.955, 0.295, 0.955)
Ti (0.298, 0.298, 0.452)
Ti (0.452, 0.452, 0.298)
Ti (0.548, 0.548, 0.702)
Ti (0.702, 0.702, 0.548)
Ni (0.001, 0.001, 0.249)
Ni (0.249, 0.249, 0.001)
Ni (0.751, 0.751, 0.999)
Ni (0.999, 0.999, 0.751)